A relaxed structure of EuMg2Au. Source: Alexandria via LeMat-Bulk, functional PBE.

Calculated values
Density of states at the Fermi level = 8.475 states/eV per cell
ΔE_f = -0.268 eV per atom

extended XYZ file:
```
4
Lattice="2.5123 1.4505 4.1219 -2.5123 1.4505 4.1219 0.0000 -2.9010 4.1219" Properties=species:S:1:pos:R:3 pbc="T T T"
Eu 0.0000 0.0000 0.0000
Mg 0.0000 0.0000 3.0823
Mg 0.0000 0.0000 9.2834
Au 0.0000 0.0000 6.1828
```

***

A relaxed structure of LiMnHgBi. Source: Alexandria via LeMat-Bulk, functional PBE.

Calculated values
Density of states at the Fermi level = 2.389 states/eV per cell
ΔE_f = 0.014 eV per atom

extended XYZ file:
```
4
Lattice="0.0000 3.4982 3.4982 3.4982 0.0000 3.4982 3.4982 3.4982 0.0000" Properties=species:S:1:pos:R:3 pbc="T T T"
Li 0.0000 0.0000 0.0000
Mn 3.4982 3.4982 3.4982
Hg 5.2473 5.2473 5.2473
Bi 1.7491 1.7491 1.7491
```

***

A relaxed structure of Nd2AgRh3O8. Source: Alexandria via LeMat-Bulk, functional PBE.

Calculated values
Density of states at the Fermi level = 0.019 states/eV per cell
VASP energy = -6.768 eV/atom

extended XYZ file:
```
14
Lattice="3.2894 1.8991 5.2614 -3.2894 1.8991 5.2614 0.0000 -3.7982 5.2614" Properties=species:S:1:pos:R:3 pbc="T T T"
Nd 0.0000 0.0000 0.0000
Nd 0.0000 0.0000 6.2216
Ag 0.0000 0.0000 11.9229
Rh 0.0000 -1.8901 8.7266
Rh -1.6369 0.9451 8.7266
Rh 1.6369 0.9451 8.7266
O 0.0000 -1.7075 4.5379
O -1.4787 0.8537 4.5379
O 0.0000 0.0000 2.4597
O -1.5320 -0.8845 7.7349
O 1.4787 0.8537 4.5379
O 0.0000 0.0000 9.6752
O 1.5320 -0.8845 7.7349
O 0.0000 1.7690 7.7349
```

***

A relaxed structure of Li2CdCl. Source: Alexandria via LeMat-Bulk, functional PBE.

Calculated values
Density of states at the Fermi level = 1.546 states/eV per cell
Offset from the most stable computed form = 68 meV per atom

extended XYZ file:
```
4
Lattice="3.8722 0.0000 0.0000 0.0000 3.4353 0.0000 -0.1288 0.0000 6.4663" Properties=species:S:1:pos:R:3 pbc="T T T"
Li -0.0010 0.0000 1.5710
Li 3.7444 0.0000 4.8954
Cd 1.9361 1.7176 0.0000
Cl -0.0644 1.7176 3.2332
```

***

> What is the density of states at the Fermi level in the third record?

0.019 states/eV per cell

***

> The lowest density of states at the Fermi level belongs to which entry?

Nd2AgRh3O8

***

> Number 1 is which compound?

EuMg2Au